Density functional theory data (PBE-GGA) for a relaxed structure of HfNbS2.

a = 4.6753 Å, b = 4.6753 Å, c = 14.8175 Å
α = 90.00°, β = 90.00°, γ = 90.00°
Space group I-42d (No. 122)
One atom of each set of equivalent atoms:
Hf: 0.0000 0.0000 0.0000 [4 per cell]
Nb: 0.0000 0.0000 0.5000 [4 per cell]
S: 0.2319 0.2500 0.6250 [8 per cell]

Summary:
DFT total energy = -7.6551 eV per atom
ΔE to the lowest computed polymorph = 0.4584 eV per atom
M_tot = 0.000 μB per formula unit


Density functional theory data (PBE-GGA) for a relaxed structure of Dy2AlPd8.

a = 15.3003 Å, b = 4.5907 Å, c = 5.9597 Å
α = 90.00°, β = 112.80°, γ = 90.00°
Space group C2/m (No. 12)
One atom of each set of equivalent atoms:
Dy: 0.1904 0.0000 0.1900 [4 per cell]
Al: 0.0000 0.5000 0.5000 [2 per cell]
Pd: 0.0002 0.0000 0.2520 [4 per cell]
Pd: 0.1318 0.5000 0.8923 [4 per cell]
Pd: 0.1325 0.5000 0.3728 [4 per cell]
Pd: 0.1780 0.0000 0.6783 [4 per cell]

Summary:
DFT total energy = -5.6743 eV per atom
energy of formation = -721 meV/atom
M_tot = 0.000 μB per formula unit


Density functional theory data (PBE-GGA) for a relaxed structure of Dy2HoGaN.

a = 4.7497 Å, b = 4.7497 Å, c = 4.7213 Å
α = 90.00°, β = 90.00°, γ = 90.00°
Space group P4/mmm (No. 123)
One atom of each set of equivalent atoms:
Dy: 0.0000 0.5000 0.0000 [2 per cell]
Ho: 0.0000 0.0000 0.5000 [1 per cell]
Ga: 0.5000 0.5000 0.5000 [1 per cell]
N: 0.0000 0.0000 0.0000 [1 per cell]

Summary:
DFT total energy = -6.0067 eV per atom
M_tot = 0.000 μB per formula unit


Density functional theory data (PBE-GGA) for a relaxed structure of TbNdTeBr.

a = 7.5099 Å, b = 7.5099 Å, c = 7.5099 Å
α = 90.00°, β = 90.00°, γ = 90.00°
Space group F-43m (No. 216)
One atom of each set of equivalent atoms:
Tb: 0.0000 0.0000 0.0000 [4 per cell]
Nd: 0.0000 0.0000 0.5000 [4 per cell]
Te: 0.2500 0.2500 0.7500 [4 per cell]
Br: 0.2500 0.2500 0.2500 [4 per cell]

Summary:
DFT total energy = -4.7026 eV per atom
M_tot = 0.000 μB per formula unit


Density functional theory data (PBE-GGA) for a relaxed structure of CrReHgSe2.

a = 5.0728 Å, b = 5.0728 Å, c = 5.0819 Å
α = 90.00°, β = 90.00°, γ = 90.00°
Space group P4/mmm (No. 123)
One atom of each set of equivalent atoms:
Cr: 0.0000 0.0000 0.0000 [1 per cell]
Re: 0.5000 0.5000 0.0000 [1 per cell]
Hg: 0.5000 0.5000 0.5000 [1 per cell]
Se: 0.0000 0.5000 0.5000 [2 per cell]

Summary:
DFT total energy = -3.3659 eV per atom
ΔE to the lowest computed polymorph = 1.2659 eV per atom
M_tot = 0.529 μB per formula unit


Density functional theory data (PBE-GGA) for a relaxed structure of TlCrP2.

a = 3.2085 Å, b = 5.5554 Å, c = 8.8230 Å
α = 90.00°, β = 90.00°, γ = 90.00°
Space group Imm2 (No. 44)
One atom of each set of equivalent atoms:
Tl: 0.0000 0.0000 0.0000 [2 per cell]
Cr: 0.0000 0.5000 0.2053 [2 per cell]
P: 0.0000 0.0000 0.4810 [2 per cell]
P: 0.0000 0.5000 0.8037 [2 per cell]

Summary:
DFT total energy = -5.2208 eV per atom
ΔE to the lowest computed polymorph = 0.4633 eV per atom
energy of formation = 482 meV/atom
M_tot = 4.031 μB per formula unit


Density functional theory data (PBE-GGA) for a relaxed structure of KCSe3.

a = 4.6695 Å, b = 4.6695 Å, c = 4.6695 Å
α = 90.00°, β = 90.00°, γ = 90.00°
Space group Pm-3m (No. 221)
One atom of each set of equivalent atoms:
K: 0.0000 0.0000 0.0000 [1 per cell]
C: 0.5000 0.5000 0.5000 [1 per cell]
Se: 0.0000 0.5000 0.5000 [3 per cell]

Summary:
DFT total energy = -3.4770 eV per atom
ΔE to the lowest computed polymorph = 0.0000 eV per atom
M_tot = 0.000 μB per formula unit


Density functional theory data (PBE-GGA) for a relaxed structure of Cr21W2C6.

a = 10.6493 Å, b = 10.6493 Å, c = 10.6493 Å
α = 90.00°, β = 90.00°, γ = 90.00°
Space group Fm-3m (No. 225)
One atom of each set of equivalent atoms:
Cr: 0.0000 0.0000 0.0000 [4 per cell]
Cr: 0.0000 0.1688 0.1688 [48 per cell]
Cr: 0.1154 0.1154 0.3846 [32 per cell]
W: 0.2500 0.2500 0.2500 [8 per cell]
C: 0.0000 0.0000 0.2750 [24 per cell]

Summary:
DFT total energy = -9.8778 eV per atom
energy of formation = -107 meV/atom
M_tot = 0.000 μB per formula unit


Density functional theory data (PBE-GGA) for a relaxed structure of Nd2AlZn3Pt4.

a = 4.2487 Å, b = 4.2487 Å, c = 10.6296 Å
α = 90.00°, β = 90.00°, γ = 90.00°
Space group P-4m2 (No. 115)
One atom of each set of equivalent atoms:
Nd: 0.0000 0.5000 0.2422 [2 per cell]
Al: 0.0000 0.0000 0.5000 [1 per cell]
Zn: 0.0000 0.5000 0.8667 [2 per cell]
Zn: 0.5000 0.5000 0.5000 [1 per cell]
Pt: 0.0000 0.0000 0.0000 [1 per cell]
Pt: 0.0000 0.5000 0.6318 [2 per cell]
Pt: 0.5000 0.5000 0.0000 [1 per cell]

Summary:
DFT total energy = -4.9716 eV per atom
energy of formation = -845 meV/atom
M_tot = 0.000 μB per formula unit


Density functional theory data (PBE-GGA) for a relaxed structure of Li2AcSbO4.

a = 3.7522 Å, b = 14.0233 Å, c = 9.5694 Å
α = 90.00°, β = 90.00°, γ = 90.00°
Space group Cmcm (No. 63)
One atom of each set of equivalent atoms:
Li: 0.0000 0.0845 0.0451 [8 per cell]
Ac: 0.0000 0.4551 0.2500 [4 per cell]
Sb: 0.0000 0.2679 0.7500 [4 per cell]
O: 0.0000 0.0754 0.2500 [4 per cell]
O: 0.0000 0.1667 0.6114 [8 per cell]
O: 0.0000 0.5000 0.0000 [4 per cell]

Summary:
DFT total energy = -5.9539 eV per atom
M_tot = 0.000 μB per formula unit


Density functional theory data (PBE-GGA) for a relaxed structure of Pm2PaN3.

a = 3.5705 Å, b = 5.0417 Å, c = 10.7091 Å
α = 90.00°, β = 90.00°, γ = 90.00°
Space group Immm (No. 71)
One atom of each set of equivalent atoms:
Pm: 0.0000 0.0000 0.1672 [4 per cell]
Pa: 0.0000 0.0000 0.5000 [2 per cell]
N: 0.0000 0.5000 0.1446 [4 per cell]
N: 0.0000 0.5000 0.5000 [2 per cell]

Summary:
DFT total energy = -8.9007 eV per atom
ΔE to the lowest computed polymorph = 0.0149 eV per atom
M_tot = 0.000 μB per formula unit


Density functional theory data (PBE-GGA) for a relaxed structure of LaPm2SmTm4.

a = 12.4060 Å, b = 7.1710 Å, c = 12.2968 Å
α = 90.00°, β = 109.62°, γ = 90.00°
Space group C2/m (No. 12)
One atom of each set of equivalent atoms:
La: 0.2500 0.2500 0.0000 [4 per cell]
Pm: 0.0000 0.0000 0.0000 [2 per cell]
Pm: 0.0000 0.0000 0.5000 [2 per cell]
Pm: 0.2500 0.2500 0.5000 [4 per cell]
Sm: 0.0000 0.5000 0.0000 [2 per cell]
Sm: 0.0000 0.5000 0.5000 [2 per cell]
Tm: 0.0007 0.2498 0.2514 [8 per cell]
Tm: 0.2505 0.0000 0.2520 [4 per cell]
Tm: 0.2495 0.0000 0.7480 [4 per cell]

Summary:
DFT total energy = -4.6111 eV per atom
energy of formation = 18 meV/atom
M_tot = 0.000 μB per formula unit


Q: Which formula does entry 10 have?
A: Li2AcSbO4